A geometry-optimized RbNaMoS4 structure, computed with GGA-PBE.

As for the raw total energy: -71.6 eV for the cell shown. Its formation energy from raw total energies is -0.8818 eV/atom.

a b c (Å): 6.7468 7.0285 9.1480
angles (deg): 90.00 107.73 90.00
Element x y z (fractional)
Rb  0.2224  0.2500  0.4287
Rb  0.7776  0.7500  0.5713
Na  0.2709  0.2500  0.9535
Na  0.7291  0.7500  0.0465
Mo  0.2892  0.7500  0.1807
Mo  0.7108  0.2500  0.8193
S  0.0920  0.7500  0.3349
S  0.1007  0.7500  0.9396
S  0.4968  0.0004  0.2255
S  0.4968  0.4996  0.2255
S  0.5032  0.9996  0.7745
S  0.5032  0.5004  0.7745
S  0.8993  0.2500  0.0604
S  0.9080  0.2500  0.6651